Crystalline MnZn3O at its relaxed geometry. Source: the Alexandria database, functional PBE+U.

a b c (Å): 4.260 4.260 4.260
angles (deg): 90.00 90.00 90.00
Fractional coordinates of all 5 atoms:
Mn 0.000 0.000 0.000
Zn 0.000 0.500 0.500
Zn 0.500 0.000 0.500
Zn 0.500 0.500 0.000
O 0.500 0.500 0.500

* N(E_F): 0.313 states/eV/atom
* DFT total energy: -16.01 eV for the cell shown
* ΔE to the lowest computed polymorph: 0.000 eV per atom